(1)
Compound: PmMgSe3
Source: Alexandria via LeMat-Bulk
Functional: GGA-PBE
Structure: relaxed

Cell lengths 7.3607, 7.3607, 7.3607 Å; angles 59.21, 59.21, 59.21 degrees
Sites, in units of the cell vectors:
1 Pm 0.3533 0.3533 0.3533
2 Pm 0.6467 0.6467 0.6467
3 Mg 0.1528 0.1528 0.1528
4 Mg 0.8472 0.8472 0.8472
5 Se 0.9529 0.5661 0.2234
6 Se 0.0471 0.4339 0.7766
7 Se 0.5661 0.2234 0.9529
8 Se 0.4339 0.7766 0.0471
9 Se 0.2234 0.9529 0.5661
10 Se 0.7766 0.0471 0.4339

Values from the calculation:
- SG: R-3

---

(2)
Compound: SbP2Os
Source: Alexandria via LeMat-Bulk
Functional: GGA-PBE
Structure: relaxed

Cell lengths 4.5812, 4.5812, 3.1310 Å; angles 90.00, 90.00, 97.99 degrees
Sites, in units of the cell vectors:
1 Os 0.0000 0.5000 0.5000
2 P 0.0000 0.0000 0.0000
3 P 0.5000 0.5000 0.0000
4 Sb 0.5000 0.0000 0.5000

Values from the calculation:
- SG: Cmmm

---

One value per record, in order, for raw total energy: -4.5797; -5.7697 eV/atom.
One value per record, in order, for formation energy from raw total energies: -6.1; 3.1 eV per formula unit.